#i
VASP calculation (GGA-PBE) on a relaxed structure of PmNd4Sm3.

Output
V (A^3/atom): 34.593

a = 7.316 Å, b = 7.317 Å, c = 10.340 Å
α = 90.00°, β = 90.00°, γ = 90.00°
Fractional coordinates of all 16 atoms:
Sm 0.250 0.061 0.250
Sm 0.250 0.061 0.750
Sm 0.000 0.811 0.500
Sm 0.750 0.561 0.250
Sm 0.000 0.311 0.000
Sm 0.750 0.561 0.750
Nd 0.000 0.311 0.500
Nd 0.000 0.811 0.000
Nd 0.500 0.310 0.000
Nd 0.500 0.810 0.500
Nd 0.250 0.561 0.750
Nd 0.750 0.061 0.750
Nd 0.750 0.061 0.250
Nd 0.250 0.561 0.250
Pm 0.500 0.311 0.500
Pm 0.500 0.811 0.000

#ii
VASP calculation (GGA-PBE) on a relaxed structure of PmNd4Sm3.

Output
V (A^3/atom): 34.917

a = 6.391 Å, b = 7.385 Å, c = 11.838 Å
α = 90.00°, β = 90.00°, γ = 90.00°
Fractional coordinates of all 16 atoms:
Pm 0.149 0.375 0.000
Pm 0.649 0.625 0.500
Nd 0.649 0.126 0.000
Nd 0.148 0.874 0.000
Nd 0.481 0.874 0.751
Nd 0.648 0.126 0.500
Nd 0.149 0.874 0.500
Nd 0.981 0.126 0.749
Nd 0.981 0.126 0.251
Nd 0.481 0.874 0.249
Sm 0.480 0.376 0.750
Sm 0.480 0.376 0.250
Sm 0.148 0.377 0.500
Sm 0.648 0.623 0.000
Sm 0.980 0.624 0.250
Sm 0.980 0.624 0.750

How far above the most stable structure does each one sit? In kJ/mol of atoms: #i 0.0; #ii 1.7.